(1)
A PBEsol-optimized structure of Mg2MnSe, computed with meta-GGA SCAN.

Calculated values
As for the space group: Amm2, No. 38. Its density of states at the Fermi level is 1.43 states/eV/f.u. For the total magnetization, the calculation gives 0.90 μB per atom. As for the uncorrected formation energy: -0.3957 eV/atom.

The structure in CIF format:
```
data_Mg2MnSe
_chemical_formula_sum 'Mg4 Mn2 Se2'
_space_group_name_H-M_alt 'P 1'
_space_group_IT_number 1
_cell_length_a 3.724
_cell_length_b 3.702
_cell_length_c 10.837
_cell_angle_alpha 90.00
_cell_angle_beta 90.00
_cell_angle_gamma 90.00
loop_
_space_group_symop_operation_xyz
'x,y,z'
loop_
_atom_site_label
_atom_site_type_symbol
_atom_site_fract_x
_atom_site_fract_y
_atom_site_fract_z
Mg1 Mg 0.000 0.000 0.000
Mg2 Mg 0.000 0.500 0.500
Mg3 Mg 0.500 0.000 0.328
Mg4 Mg 0.500 0.500 0.828
Mn1 Mn 0.500 0.000 0.592
Mn2 Mn 0.500 0.500 0.092
Se1 Se 0.000 0.000 0.741
Se2 Se 0.000 0.500 0.241
```

(2)
A PBEsol-optimized structure of AlSb2Ir, computed with meta-GGA SCAN.

Calculated values
As for the space group: Pmmm, No. 47. Its density of states at the Fermi level is 1.46 states/eV/f.u. For the total magnetization, the calculation gives 0.00 μB per atom. As for the uncorrected formation energy: 0.2104 eV/atom.

The structure in CIF format:
```
data_AlSb2Ir
_chemical_formula_sum 'Al1 Sb2 Ir1'
_space_group_name_H-M_alt 'P 1'
_space_group_IT_number 1
_cell_length_a 3.071
_cell_length_b 3.485
_cell_length_c 7.423
_cell_angle_alpha 90.00
_cell_angle_beta 90.00
_cell_angle_gamma 90.00
loop_
_space_group_symop_operation_xyz
'x,y,z'
loop_
_atom_site_label
_atom_site_type_symbol
_atom_site_fract_x
_atom_site_fract_y
_atom_site_fract_z
Al1 Al 0.000 0.000 0.000
Sb1 Sb 0.500 0.500 0.280
Sb2 Sb 0.500 0.500 0.720
Ir1 Ir 0.000 0.000 0.500
```

(3)
A PBEsol-optimized structure of NaNb2TePd, computed with meta-GGA SCAN.

Calculated values
As for the space group: P4/mmm, No. 123. Its density of states at the Fermi level is 5.14 states/eV/f.u. For the total magnetization, the calculation gives 0.00 μB per atom. As for the uncorrected formation energy: 1.5985 eV/atom.

The structure in CIF format:
```
data_NaNb2TePd
_chemical_formula_sum 'Na1 Nb2 Te1 Pd1'
_space_group_name_H-M_alt 'P 1'
_space_group_IT_number 1
_cell_length_a 4.794
_cell_length_b 4.794
_cell_length_c 4.382
_cell_angle_alpha 90.00
_cell_angle_beta 90.00
_cell_angle_gamma 90.00
loop_
_space_group_symop_operation_xyz
'x,y,z'
loop_
_atom_site_label
_atom_site_type_symbol
_atom_site_fract_x
_atom_site_fract_y
_atom_site_fract_z
Na1 Na 0.000 0.000 0.000
Nb1 Nb 0.000 0.500 0.000
Nb2 Nb 0.500 0.000 0.000
Te1 Te 0.500 0.500 0.500
Pd1 Pd 0.000 0.000 0.500
```

(4)
A PBEsol-optimized structure of MgPtAu3, computed with meta-GGA SCAN.

Calculated values
As for the space group: Pm-3m, No. 221. Its density of states at the Fermi level is 2.95 states/eV/f.u. For the total magnetization, the calculation gives 0.00 μB per atom. The value obtained for the formation enthalpy at 0 K is 0.903 eV/atom.

The structure in CIF format:
```
data_MgPtAu3
_chemical_formula_sum 'Mg1 Pt1 Au3'
_space_group_name_H-M_alt 'P 1'
_space_group_IT_number 1
_cell_length_a 4.643
_cell_length_b 4.643
_cell_length_c 4.643
_cell_angle_alpha 90.00
_cell_angle_beta 90.00
_cell_angle_gamma 90.00
loop_
_space_group_symop_operation_xyz
'x,y,z'
loop_
_atom_site_label
_atom_site_type_symbol
_atom_site_fract_x
_atom_site_fract_y
_atom_site_fract_z
Mg1 Mg 0.000 0.000 0.000
Pt1 Pt 0.500 0.500 0.500
Au1 Au 0.000 0.000 0.500
Au2 Au 0.000 0.500 0.000
Au3 Au 0.500 0.000 0.000
```

(5)
A PBEsol-optimized structure of Cs2P2Pd, computed with meta-GGA SCAN.

Calculated values
As for the space group: Cmcm, No. 63. For the total magnetization, the calculation gives 0.00 μB per atom. The value obtained for the formation enthalpy at 0 K is -0.649 eV/atom.

The structure in CIF format:
```
data_Cs2P2Pd
_chemical_formula_sum 'Cs4 P4 Pd2'
_space_group_name_H-M_alt 'P 1'
_space_group_IT_number 1
_cell_length_a 8.177
_cell_length_b 8.177
_cell_length_c 6.082
_cell_angle_alpha 90.00
_cell_angle_beta 90.00
_cell_angle_gamma 131.28
loop_
_space_group_symop_operation_xyz
'x,y,z'
loop_
_atom_site_label
_atom_site_type_symbol
_atom_site_fract_x
_atom_site_fract_y
_atom_site_fract_z
Cs1 Cs 0.082 0.918 0.750
Cs2 Cs 0.287 0.713 0.250
Cs3 Cs 0.713 0.287 0.750
Cs4 Cs 0.918 0.082 0.250
P1 P 0.239 0.440 0.750
P2 P 0.440 0.239 0.250
P3 P 0.560 0.761 0.750
P4 P 0.761 0.560 0.250
Pd1 Pd 0.500 0.500 0.000
Pd2 Pd 0.500 0.500 0.500
```

(6)
A PBEsol-optimized structure of Mg5Tl, computed with meta-GGA SCAN.

Calculated values
As for the space group: F-43m, No. 216. Its density of states at the Fermi level is 2.62 states/eV/f.u. For the total magnetization, the calculation gives 0.00 μB per atom. The value obtained for the formation enthalpy at 0 K is 0.061 eV/atom.

The structure in CIF format:
```
data_Mg5Tl
_chemical_formula_sum 'Mg5 Tl1'
_space_group_name_H-M_alt 'P 1'
_space_group_IT_number 1
_cell_length_a 5.872
_cell_length_b 5.872
_cell_length_c 5.872
_cell_angle_alpha 60.00
_cell_angle_beta 60.00
_cell_angle_gamma 60.00
loop_
_space_group_symop_operation_xyz
'x,y,z'
loop_
_atom_site_label
_atom_site_type_symbol
_atom_site_fract_x
_atom_site_fract_y
_atom_site_fract_z
Mg1 Mg 0.000 0.000 0.000
Mg2 Mg 0.124 0.625 0.625
Mg3 Mg 0.625 0.124 0.625
Mg4 Mg 0.625 0.625 0.124
Mg5 Mg 0.625 0.625 0.625
Tl1 Tl 0.250 0.250 0.250
```

(7)
A PBEsol-optimized structure of MgScAl4, computed with meta-GGA SCAN.

Calculated values
As for the space group: F-43m, No. 216. Its density of states at the Fermi level is 3.23 states/eV/f.u. For the total magnetization, the calculation gives 0.03 μB per atom. The value obtained for the formation enthalpy at 0 K is -0.235 eV/atom.

The structure in CIF format:
```
data_MgScAl4
_chemical_formula_sum 'Mg1 Sc1 Al4'
_space_group_name_H-M_alt 'P 1'
_space_group_IT_number 1
_cell_length_a 5.359
_cell_length_b 5.359
_cell_length_c 5.359
_cell_angle_alpha 60.00
_cell_angle_beta 60.00
_cell_angle_gamma 60.00
loop_
_space_group_symop_operation_xyz
'x,y,z'
loop_
_atom_site_label
_atom_site_type_symbol
_atom_site_fract_x
_atom_site_fract_y
_atom_site_fract_z
Mg1 Mg 0.000 0.000 0.000
Sc1 Sc 0.250 0.250 0.250
Al1 Al 0.126 0.625 0.625
Al2 Al 0.625 0.126 0.625
Al3 Al 0.625 0.625 0.126
Al4 Al 0.625 0.625 0.625
```

(8)
A PBEsol-optimized structure of CaMg2Sn2, computed with meta-GGA SCAN.

Calculated values
As for the space group: I4/mmm, No. 139. Its density of states at the Fermi level is 1.80 states/eV/f.u. For the total magnetization, the calculation gives 0.00 μB per atom. The value obtained for the formation enthalpy at 0 K is -0.417 eV/atom.

The structure in CIF format:
```
data_CaMg2Sn2
_chemical_formula_sum 'Ca2 Mg4 Sn4'
_space_group_name_H-M_alt 'P 1'
_space_group_IT_number 1
_cell_length_a 4.605
_cell_length_b 4.605
_cell_length_c 12.464
_cell_angle_alpha 90.00
_cell_angle_beta 90.00
_cell_angle_gamma 90.00
loop_
_space_group_symop_operation_xyz
'x,y,z'
loop_
_atom_site_label
_atom_site_type_symbol
_atom_site_fract_x
_atom_site_fract_y
_atom_site_fract_z
Ca1 Ca 0.000 0.000 0.000
Ca2 Ca 0.500 0.500 0.500
Mg1 Mg 0.000 0.500 0.250
Mg2 Mg 0.000 0.500 0.750
Mg3 Mg 0.500 0.000 0.250
Mg4 Mg 0.500 0.000 0.750
Sn1 Sn 0.000 0.000 0.387
Sn2 Sn 0.000 0.000 0.613
Sn3 Sn 0.500 0.500 0.113
Sn4 Sn 0.500 0.500 0.887
```

(9)
A PBEsol-optimized structure of NbB3I, computed with meta-GGA SCAN.

Calculated values
As for the space group: Pm-3m, No. 221. Its density of states at the Fermi level is 4.56 states/eV/f.u. For the total magnetization, the calculation gives 0.00 μB per atom. As for the uncorrected formation energy: 1.9212 eV/atom.

The structure in CIF format:
```
data_NbB3I
_chemical_formula_sum 'Nb1 B3 I1'
_space_group_name_H-M_alt 'P 1'
_space_group_IT_number 1
_cell_length_a 4.427
_cell_length_b 4.427
_cell_length_c 4.427
_cell_angle_alpha 90.00
_cell_angle_beta 90.00
_cell_angle_gamma 90.00
loop_
_space_group_symop_operation_xyz
'x,y,z'
loop_
_atom_site_label
_atom_site_type_symbol
_atom_site_fract_x
_atom_site_fract_y
_atom_site_fract_z
Nb1 Nb 0.000 0.000 0.000
B1 B 0.000 0.000 0.500
B2 B 0.000 0.500 0.000
B3 B 0.500 0.000 0.000
I1 I 0.500 0.500 0.500
```

(10)
A PBEsol-optimized structure of MgTc4Br, computed with meta-GGA SCAN.

Calculated values
As for the space group: F-43m, No. 216. Its density of states at the Fermi level is 4.27 states/eV/f.u. For the total magnetization, the calculation gives 0.00 μB per atom. As for the uncorrected formation energy: 0.7791 eV/atom.

The structure in CIF format:
```
data_MgTc4Br
_chemical_formula_sum 'Mg1 Tc4 Br1'
_space_group_name_H-M_alt 'P 1'
_space_group_IT_number 1
_cell_length_a 5.164
_cell_length_b 5.164
_cell_length_c 5.164
_cell_angle_alpha 60.00
_cell_angle_beta 60.00
_cell_angle_gamma 60.00
loop_
_space_group_symop_operation_xyz
'x,y,z'
loop_
_atom_site_label
_atom_site_type_symbol
_atom_site_fract_x
_atom_site_fract_y
_atom_site_fract_z
Mg1 Mg 0.000 0.000 0.000
Tc1 Tc 0.129 0.624 0.624
Tc2 Tc 0.624 0.129 0.624
Tc3 Tc 0.624 0.624 0.129
Tc4 Tc 0.624 0.624 0.624
Br1 Br 0.250 0.250 0.250
```